The following is a DFT calculation (PBE) of a relaxed ZnNi14As crystal.

a = 5.001 Å, b = 5.001 Å, c = 8.187 Å
α = 90.00°, β = 90.00°, γ = 118.52°
Fractional coordinates of all 16 atoms:
Ni 0.875 0.626 0.752
Ni 0.873 0.127 0.754
Ni 0.548 0.953 0.500
Ni 0.374 0.125 0.752
Ni 0.047 0.452 0.500
Ni 0.704 0.296 0.000
Ni 0.706 0.797 0.000
Ni 0.875 0.626 0.248
Ni 0.374 0.626 0.755
Ni 0.374 0.125 0.248
Ni 0.374 0.626 0.245
Ni 0.204 0.796 0.000
Ni 0.203 0.294 0.000
Ni 0.873 0.127 0.246
As 0.049 0.951 0.500
Zn 0.547 0.453 0.500

Calculated values
Formation enthalpy at 0 K   -28 meV/atom
Calculated density   8.88 g cm⁻³

The following is a DFT calculation (PBE) of a relaxed ZnNiAs2 crystal.

a = 3.774 Å, b = 4.584 Å, c = 4.990 Å
α = 58.97°, β = 90.00°, γ = 90.00°
Fractional coordinates of all 4 atoms:
As 0.000 0.388 0.445
As 0.000 0.112 0.055
Ni 0.500 0.250 0.250
Zn 0.500 0.750 0.750

Calculated values
Formation enthalpy at 0 K   -30 meV/atom
Calculated density   6.15 g cm⁻³

The following is a DFT calculation (PBE) of a relaxed ZnNiAs2 crystal.

a = 2.924 Å, b = 2.924 Å, c = 7.538 Å
α = 90.00°, β = 90.00°, γ = 89.88°
Fractional coordinates of all 4 atoms:
Ni 0.500 0.500 0.250
Zn 0.500 0.500 0.750
As 0.000 0.000 0.460
As 0.000 0.000 0.040

Calculated values
Formation enthalpy at 0 K   81 meV/atom
Calculated density   7.06 g cm⁻³

The evaluated VASP energy for the records listed, in turn: -5.457; -4.119; -4.008 eV/atom.